A plane-wave DFT calculation with PBE was carried out for NaAcZnN2 after structural relaxation.

Cell lengths 4.2187, 6.0912, 6.9755 Å; angles 100.50, 90.00, 90.00 degrees
Last column: nearest neighbours and their distance in Å.
Element x y z (fractional)
Ac 0.7761 0.5000 0.2500  4 N 2.64-2.69
Ac 0.2239 0.5000 0.7500  4 N 2.64-2.69
N 0.7742 0.2674 0.5430  1 Zn 1.86
Na 0.4755 0.0000 0.2500  4 N 2.59-2.68, 4 Zn 2.66-2.82
N 0.2258 0.2674 0.0430  1 Zn 1.86
Zn 0.0000 0.0000 0.0000  2 N 1.86
N 0.2258 0.7326 0.4570  1 Zn 1.86
Na 0.5245 0.0000 0.7500  4 N 2.59-2.68, 4 Zn 2.66-2.82
N 0.7742 0.7326 0.9570  1 Zn 1.86
Zn 0.0000 0.0000 0.5000  2 N 1.86

Values from the calculation:
**Raw total energy**: -5.07 eV per atom
**Formation energy (no corrections)**: -0.397 eV/atom